The following is a DFT calculation (PBEsol) of CuAg2Te after structural relaxation.

Geometry as CIF:
```
data_CuAg2Te
_chemical_formula_sum 'Cu2 Ag4 Te2'
_symmetry_space_group_name_H-M 'I 4/m m m'
_symmetry_Int_Tables_number 139
_symmetry_space_group_name_Hall '-I 4 2'
_cell_length_a 3.994
_cell_length_b 3.994
_cell_length_c 8.877
_cell_angle_alpha 90.00
_cell_angle_beta 90.00
_cell_angle_gamma 90.00
loop_
_atom_site_label
_atom_site_type_symbol
_atom_site_fract_x
_atom_site_fract_y
_atom_site_fract_z
Cu1 Cu 0.000 0.000 0.000
Ag1 Ag 0.000 0.500 0.250
Te1 Te 0.000 0.000 0.500
```

Calculated values
The value obtained for the excess energy over the best structure of this formula in the dataset is 0.000 eV/atom. The theoretical density comes out at 9.54 g cm⁻³. The volume comes out at 142 Å³ per cell. Its total energy is -27.79 eV for the cell shown. The uncorrected formation energy comes out at 0.6 eV/f.u. For the density of states at the Fermi level, the calculation gives 0.32 states/eV/atom. Its crystal system is tetragonal.